DFT (PBE) results for a geometry-optimized Zn3Tc structure.

Computed properties:
* DOS(E_F): 3.70 states/eV/cell
* magnetic moment: 1.986 μB per cell
* electronic total energy: -3.263 eV per atom
* calculated volume: 14.80 Å³/atom
* crystal system: cubic
* space group: No. 223

a b c (Å): 4.9104 4.9104 4.9104
angles (deg): 90.00 90.00 90.00
Last column: nearest neighbours and their distance in Å.
Fractional positions:
Zn 0.0000 0.2500 0.5000  2 Zn 2.46, 4 Tc 2.74
Zn 0.0000 0.7500 0.5000  2 Zn 2.46, 4 Tc 2.74
Zn 0.2500 0.5000 0.0000  2 Zn 2.46, 4 Tc 2.74
Zn 0.5000 0.0000 0.2500  2 Zn 2.46, 4 Tc 2.74
Zn 0.5000 0.0000 0.7500  2 Zn 2.46, 4 Tc 2.74
Zn 0.7500 0.5000 0.0000  2 Zn 2.46, 4 Tc 2.74
Tc 0.0000 0.0000 0.0000  12 Zn 2.74
Tc 0.5000 0.5000 0.5000  12 Zn 2.74

DFT (PBE) results for a geometry-optimized Zn5Tc4 structure.

Computed properties:
* DOS(E_F): 7.93 states/eV/cell
* magnetic moment: 0.005 μB per cell
* electronic total energy: -5.214 eV per atom
* calculated volume: 14.46 Å³/atom
* crystal system: tetragonal
* space group: No. 139

a b c (Å): 6.7583 6.7583 6.7583
angles (deg): 92.82 92.82 154.37
Last column: nearest neighbours and their distance in Å.
Fractional positions:
Zn 0.0000 0.0000 0.0000  10 Zn 2.69-3.00
Zn 0.3309 0.3309 0.6617  4 Zn 2.61-2.69, 4 Tc 2.67
Zn 0.3309 0.6691 0.0000  4 Zn 2.61-2.69, 4 Tc 2.67
Zn 0.6691 0.3309 0.0000  4 Zn 2.61-2.69, 4 Tc 2.67
Zn 0.6691 0.6691 0.3383  4 Zn 2.61-2.69, 4 Tc 2.67
Tc 0.0000 0.3356 0.3356  4 Tc 2.63, 4 Zn 2.67
Tc 0.0000 0.6644 0.6644  4 Tc 2.63, 4 Zn 2.67
Tc 0.3356 0.0000 0.3356  4 Tc 2.63, 4 Zn 2.67
Tc 0.6644 0.0000 0.6644  4 Tc 2.63, 4 Zn 2.67

DFT (PBE) results for a geometry-optimized Zn3Tc structure.

Computed properties:
* DOS(E_F): 2.51 states/eV/cell
* magnetic moment: 0.000 μB per cell
* electronic total energy: -3.486 eV per atom
* calculated volume: 14.44 Å³/atom
* crystal system: orthorhombic
* space group: No. 25

a b c (Å): 2.7097 4.4257 4.8164
angles (deg): 90.00 90.00 90.00
Last column: nearest neighbours and their distance in Å.
Fractional positions:
Zn 0.0000 0.0000 0.0000  8 Zn 2.71-2.75, 4 Tc 2.75-2.77
Zn 0.0000 0.5000 0.3383  8 Zn 2.68-2.85, 4 Tc 2.71
Zn 0.5000 0.5000 0.8179  10 Zn 2.68-2.85, 2 Tc 2.69
Tc 0.5000 0.0000 0.5020  10 Zn 2.69-2.77, 2 Tc 2.71

DFT (PBE) results for a geometry-optimized ZnTc2 structure.

Computed properties:
* DOS(E_F): 5.19 states/eV/cell
* magnetic moment: 0.000 μB per cell
* electronic total energy: -6.877 eV per atom
* calculated volume: 16.05 Å³/atom
* crystal system: orthorhombic
* space group: No. 74

a b c (Å): 8.8332 8.8332 8.8332
angles (deg): 162.98 151.46 33.42
Last column: nearest neighbours and their distance in Å.
Fractional positions:
Zn 0.3742 0.1242 0.2500  2 Zn 2.61, 4 Tc 2.73
Zn 0.6258 0.8758 0.7500  2 Zn 2.61, 4 Tc 2.73
Tc 0.0667 0.3167 0.7500  5 Tc 2.48-2.61, 4 Zn 2.73
Tc 0.2135 0.4635 0.7500  5 Tc 2.48-2.61
Tc 0.7865 0.5365 0.2500  5 Tc 2.48-2.61
Tc 0.9333 0.6833 0.2500  5 Tc 2.48-2.61, 4 Zn 2.73

DFT (PBE) results for a geometry-optimized ZnTc3 structure.

Computed properties:
* DOS(E_F): 4.05 states/eV/cell
* magnetic moment: 0.000 μB per cell
* electronic total energy: -8.034 eV per atom
* calculated volume: 14.58 Å³/atom
* crystal system: trigonal
* space group: No. 166

a b c (Å): 9.0663 9.0663 9.0663
angles (deg): 17.42 17.42 17.42
Last column: nearest neighbours and their distance in Å.
Fractional positions:
Zn 0.0000 0.0000 0.0000  6 Zn 2.75, 6 Tc 2.78
Tc 0.2483 0.2483 0.2483  9 Tc 2.70-2.75, 3 Zn 2.78
Tc 0.5000 0.5000 0.5000  12 Tc 2.70-2.75
Tc 0.7517 0.7517 0.7517  9 Tc 2.70-2.75, 3 Zn 2.78

DFT (PBE) results for a geometry-optimized Zn3Tc structure.

Computed properties:
* DOS(E_F): 1.08 states/eV/cell
* magnetic moment: 0.000 μB per cell
* electronic total energy: -3.580 eV per atom
* calculated volume: 14.18 Å³/atom
* crystal system: tetragonal
* space group: No. 139

a b c (Å): 8.5275 8.5275 8.5275
angles (deg): 154.66 154.66 36.13
Last column: nearest neighbours and their distance in Å.
Fractional positions:
Zn 0.0000 0.5000 0.5000  8 Zn 2.64-2.82, 4 Tc 2.67
Zn 0.1302 0.1302 0.0000  4 Tc 2.65, 8 Zn 2.70-2.82
Zn 0.2500 0.7500 0.5000  8 Zn 2.64-2.70, 4 Tc 2.85
Zn 0.5000 0.0000 0.5000  8 Zn 2.64-2.82, 4 Tc 2.67
Zn 0.7500 0.2500 0.5000  8 Zn 2.64-2.70, 4 Tc 2.85
Zn 0.8698 0.8698 0.0000  4 Tc 2.65, 8 Zn 2.70-2.82
Tc 0.3827 0.3827 0.0000  12 Zn 2.65-2.85
Tc 0.6173 0.6173 0.0000  12 Zn 2.65-2.85

DFT (PBE) results for a geometry-optimized ZnTc2 structure.

Computed properties:
* DOS(E_F): 10.11 states/eV/cell
* magnetic moment: 0.000 μB per cell
* electronic total energy: -7.210 eV per atom
* calculated volume: 14.25 Å³/atom
* crystal system: hexagonal
* space group: No. 189

a b c (Å): 7.3154 7.3154 2.7666
angles (deg): 90.00 90.00 120.00
Last column: nearest neighbours and their distance in Å.
Fractional positions:
Zn 0.0000 0.0000 0.0000  9 Tc 2.61-2.64, 2 Zn 2.77
Zn 0.3333 0.6667 0.5000  9 Tc 2.54-2.73, 2 Zn 2.77
Zn 0.6667 0.3333 0.5000  9 Tc 2.54-2.73, 2 Zn 2.77
Tc 0.0000 0.3072 0.5000  4 Zn 2.54-2.64, 8 Tc 2.77-2.82
Tc 0.0000 0.6427 0.0000  5 Zn 2.61-2.73, 8 Tc 2.77-2.82
Tc 0.3072 0.0000 0.5000  4 Zn 2.54-2.64, 8 Tc 2.77-2.82
Tc 0.3573 0.3573 0.0000  5 Zn 2.61-2.73, 8 Tc 2.77-2.82
Tc 0.6427 0.0000 0.0000  5 Zn 2.61-2.73, 8 Tc 2.77-2.82
Tc 0.6928 0.6928 0.5000  4 Zn 2.54-2.64, 8 Tc 2.77-2.82

DFT (PBE) results for a geometry-optimized ZnTc2 structure.

Computed properties:
* DOS(E_F): 4.89 states/eV/cell
* magnetic moment: 0.000 μB per cell
* electronic total energy: -7.290 eV per atom
* calculated volume: 14.42 Å³/atom
* crystal system: monoclinic
* space group: No. 12

a b c (Å): 5.2077 5.2077 6.3838
angles (deg): 104.51 104.51 31.17
Last column: nearest neighbours and their distance in Å.
Fractional positions:
Zn 0.1968 0.1968 0.1322  4 Zn 2.62-2.80, 8 Tc 2.70-2.80
Zn 0.8032 0.8032 0.8678  4 Zn 2.62-2.80, 8 Tc 2.70-2.80
Tc 0.1353 0.1353 0.5333  9 Tc 2.64-2.82, 3 Zn 2.74-2.79
Tc 0.4829 0.4829 0.2059  7 Tc 2.65-2.80, 5 Zn 2.70-2.80
Tc 0.5171 0.5171 0.7941  7 Tc 2.65-2.80, 5 Zn 2.70-2.80
Tc 0.8647 0.8647 0.4667  9 Tc 2.64-2.82, 3 Zn 2.74-2.79

DFT (PBE) results for a geometry-optimized Zn3Tc structure.

Computed properties:
* DOS(E_F): 1.94 states/eV/cell
* magnetic moment: 0.000 μB per cell
* electronic total energy: -3.479 eV per atom
* calculated volume: 14.43 Å³/atom
* crystal system: monoclinic
* space group: No. 12

a b c (Å): 4.7956 4.7956 4.7334
angles (deg): 102.03 102.03 32.90
Last column: nearest neighbours and their distance in Å.
Fractional positions:
Zn 0.0000 0.0000 0.0000  8 Zn 2.72-2.83, 4 Tc 2.73
Zn 0.2504 0.2504 0.7426  9 Zn 2.67-2.83, 3 Tc 2.71-2.78
Zn 0.7496 0.7496 0.2574  9 Zn 2.67-2.83, 3 Tc 2.71-2.78
Tc 0.5000 0.5000 0.5000  10 Zn 2.71-2.78, 2 Tc 2.72

DFT (PBE) results for a geometry-optimized ZnTc3 structure.

Computed properties:
* DOS(E_F): 6.31 states/eV/cell
* magnetic moment: 0.000 μB per cell
* electronic total energy: -8.045 eV per atom
* calculated volume: 14.49 Å³/atom
* crystal system: monoclinic
* space group: No. 11

a b c (Å): 6.4390 2.7733 6.5124
angles (deg): 90.00 94.44 90.00
Last column: nearest neighbours and their distance in Å.
Fractional positions:
Zn 0.0849 0.2500 0.1660  4 Zn 2.72-2.77, 8 Tc 2.73-2.79
Zn 0.9151 0.7500 0.8340  4 Zn 2.72-2.77, 8 Tc 2.73-2.79
Tc 0.1756 0.2500 0.5914  9 Tc 2.62-2.83, 3 Zn 2.76-2.79
Tc 0.3371 0.7500 0.9163  9 Tc 2.67-2.78, 3 Zn 2.73-2.76
Tc 0.4175 0.7500 0.3420  10 Tc 2.62-2.78, 2 Zn 2.73
Tc 0.5825 0.2500 0.6580  10 Tc 2.62-2.78, 2 Zn 2.73
Tc 0.6629 0.2500 0.0837  9 Tc 2.67-2.78, 3 Zn 2.73-2.76
Tc 0.8244 0.7500 0.4086  9 Tc 2.62-2.83, 3 Zn 2.76-2.79

DFT (PBE) results for a geometry-optimized ZnTc2 structure.

Computed properties:
* DOS(E_F): 10.17 states/eV/cell
* magnetic moment: 0.000 μB per cell
* electronic total energy: -7.179 eV per atom
* calculated volume: 14.66 Å³/atom
* crystal system: orthorhombic
* space group: No. 62

a b c (Å): 5.4194 3.9284 8.2634
angles (deg): 90.00 90.00 90.00
Last column: nearest neighbours and their distance in Å.
Fractional positions:
Zn 0.1167 0.2500 0.0767  2 Zn 2.66, 10 Tc 2.71-2.91
Zn 0.3833 0.7500 0.5767  2 Zn 2.66, 10 Tc 2.71-2.91
Zn 0.6167 0.2500 0.4233  2 Zn 2.66, 10 Tc 2.71-2.91
Zn 0.8833 0.7500 0.9233  2 Zn 2.66, 10 Tc 2.71-2.91
Tc 0.0996 0.2500 0.7252  5 Tc 2.54-2.74, 4 Zn 2.78-2.81
Tc 0.1168 0.2500 0.4080  5 Tc 2.54-2.79, 5 Zn 2.71-2.81
Tc 0.3832 0.7500 0.9080  5 Tc 2.54-2.79, 5 Zn 2.71-2.81
Tc 0.4004 0.7500 0.2252  5 Tc 2.54-2.74, 4 Zn 2.78-2.81
Tc 0.5996 0.2500 0.7748  5 Tc 2.54-2.74, 4 Zn 2.78-2.81
Tc 0.6168 0.2500 0.0920  5 Tc 2.54-2.79, 5 Zn 2.71-2.81
Tc 0.8832 0.7500 0.5920  5 Tc 2.54-2.79, 5 Zn 2.71-2.81
Tc 0.9004 0.7500 0.2748  5 Tc 2.54-2.74, 4 Zn 2.78-2.81

DFT (PBE) results for a geometry-optimized ZnTc3 structure.

Computed properties:
* DOS(E_F): 7.79 states/eV/cell
* magnetic moment: 0.000 μB per cell
* electronic total energy: -8.014 eV per atom
* calculated volume: 14.41 Å³/atom
* crystal system: cubic
* space group: No. 223

a b c (Å): 4.8668 4.8668 4.8668
angles (deg): 90.00 90.00 90.00
Last column: nearest neighbours and their distance in Å.
Fractional positions:
Zn 0.0000 0.0000 0.0000  12 Tc 2.72
Zn 0.5000 0.5000 0.5000  12 Tc 2.72
Tc 0.0000 0.2500 0.5000  2 Tc 2.43, 4 Zn 2.72
Tc 0.0000 0.7500 0.5000  2 Tc 2.43, 4 Zn 2.72
Tc 0.2500 0.5000 0.0000  2 Tc 2.43, 4 Zn 2.72
Tc 0.5000 0.0000 0.2500  2 Tc 2.43, 4 Zn 2.72
Tc 0.5000 0.0000 0.7500  2 Tc 2.43, 4 Zn 2.72
Tc 0.7500 0.5000 0.0000  2 Tc 2.43, 4 Zn 2.72